Density functional theory data (PBE) for an optimized crystal structure of K3Ru2O8.

Structure (POSCAR):
```
K3Ru2O8
1.0
-4.8060 -2.9250 -2.3539
-3.6987 -3.2075 3.6368
-6.9342 3.8575 1.4637
O K Ru
8 3 2
Cartesian
-5.9597 -1.9067 2.4845
-8.2398 -3.2944 1.3678
-8.9538 -0.5023 3.1042
-6.4851 -1.7726 -0.3576
-12.4878 -0.3980 2.2896
-9.4791 -0.3683 0.2621
-2.9511 -1.8769 0.4570
-7.1990 1.0194 1.3788
0.0000 0.0000 0.0000
-4.4780 0.3214 0.8429
-10.9609 -2.5964 1.9037
-8.8877 0.5444 1.6686
-6.5512 -2.8194 1.0780
```

For the raw total energy, the calculation gives -77.7 eV per cell. As for the formation energy (no corrections): -1245 meV per atom. The volume comes out at 18.0 Å³/atom.